# 1
A geometry-optimized BaLiAs2 structure, computed with PBE-GGA.

```
BaLiAs2
1.0
3.824 0.000 0.000
0.000 3.935 0.000
0.000 0.000 6.603
Ba Li As
1 1 2
Direct
0.000 0.000 0.000
0.000 0.000 0.500
0.500 0.500 0.318
0.500 0.500 0.682
```

---

# 2
A geometry-optimized BaLiAs structure, computed with PBE-GGA.

```
BaLiAs
1.0
7.583 0.000 0.000
0.000 4.707 0.000
0.000 0.000 10.790
Ba Li As
4 4 4
Direct
0.148 0.250 0.133
0.352 0.750 0.633
0.648 0.250 0.367
0.852 0.750 0.867
0.051 0.750 0.425
0.449 0.250 0.925
0.551 0.750 0.075
0.949 0.250 0.575
0.221 0.250 0.433
0.279 0.750 0.933
0.721 0.250 0.067
0.779 0.750 0.567
```

---

# 3
A geometry-optimized BaLiAs2 structure, computed with PBE-GGA.

```
BaLiAs2
1.0
3.390 0.000 0.000
0.000 3.390 0.000
0.000 0.000 8.479
Ba Li As
1 1 2
Direct
0.000 0.000 0.000
0.000 0.000 0.500
0.500 0.500 0.285
0.500 0.500 0.715
```

---

Ordered Fermi-level density of states results: 0.379 0.000 0.259; unit states/eV/atom.
Ordered ΔE_f results: -617 -859 -410; unit meV per atom.